KVGe2O6: optimized geometry, PBE+U.

Cell and atoms, written as CIF:
```
data_KVGe2O6
_chemical_formula_sum 'K4 V4 Ge8 O24'
_cell_length_a 9.857
_cell_length_b 10.278
_cell_length_c 5.266
_cell_angle_alpha 90.00
_cell_angle_beta 96.46
_cell_angle_gamma 90.00
_space_group_name_H-M_alt 'C 1 2/c 1'
_space_group_IT_number 15
loop_
_space_group_symop_operation_xyz
'x,y,z'
'-x,-y,-z'
'-x,y,-z+1/2'
'x,-y,z+1/2'
'x+1/2,y+1/2,z'
'-x+1/2,-y+1/2,-z'
'-x+1/2,y+1/2,-z+1/2'
'x+1/2,-y+1/2,z+1/2'
loop_
_atom_site_label
_atom_site_fract_x
_atom_site_fract_y
_atom_site_fract_z
K1 0.000 0.083 0.250
V1 0.000 0.286 0.750
Ge1 0.195 0.406 0.274
O1 0.098 0.293 0.090
O2 0.133 0.134 0.683
O3 0.150 0.436 0.605
```

Theoretical density = 4.151 g/cm³
Energy = -6.445 eV/atom
Total magnetization = 0.200 μB per atom


KVGeO5: optimized geometry, PBE+U.

Cell and atoms, written as CIF:
```
data_KVGeO5
_chemical_formula_sum 'K4 V4 Ge4 O20'
_cell_length_a 6.982
_cell_length_b 9.370
_cell_length_c 6.976
_cell_angle_alpha 90.00
_cell_angle_beta 113.14
_cell_angle_gamma 90.00
_space_group_name_H-M_alt 'C 1 2/c 1'
_space_group_IT_number 15
loop_
_space_group_symop_operation_xyz
'x,y,z'
'-x,-y,-z'
'-x,y,-z+1/2'
'x,-y,z+1/2'
'x+1/2,y+1/2,z'
'-x+1/2,-y+1/2,-z'
'-x+1/2,y+1/2,-z+1/2'
'x+1/2,-y+1/2,z+1/2'
loop_
_atom_site_label
_atom_site_fract_x
_atom_site_fract_y
_atom_site_fract_z
K1 0.000 0.163 0.250
V1 0.000 0.191 0.750
Ge1 0.000 0.500 0.000
O1 0.000 0.439 0.250
O2 0.089 0.308 0.606
O3 0.201 0.081 0.908
```

Theoretical density = 3.841 g/cm³
Energy = -6.515 eV/atom
D(E_F) = 0.00 states/eV/atom
Total magnetization = 0.000 μB per atom


KV3Ge2O9: optimized geometry, PBE+U.

Cell and atoms, written as CIF:
```
data_KV3Ge2O9
_chemical_formula_sum 'K2 V6 Ge4 O18'
_cell_length_a 5.9912
_cell_length_b 5.9912
_cell_length_c 13.8093
_cell_angle_alpha 90.00
_cell_angle_beta 90.00
_cell_angle_gamma 120.00
_space_group_name_H-M_alt 'P 63/m m c'
_space_group_IT_number 194
_space_group_name_Hall '-P 6c 2c'
loop_
_atom_site_label
_atom_site_fract_x
_atom_site_fract_y
_atom_site_fract_z
K1 0.3333 0.6667 0.2500
V1 0.0000 0.5000 0.0000
Ge1 0.0000 0.0000 0.1225
O1 0.0000 0.0000 0.2500
O2 0.1653 0.3305 0.0863
O3 0.3333 0.6667 0.5675
```

Theoretical density = 3.723 g/cm³
Energy = -7.095 eV/atom
Total magnetization = 0.400 μB per atom


KV2GeO: optimized geometry, PBE+U.

Cell and atoms, written as CIF:
```
data_KV2GeO
_chemical_formula_sum 'K1 V2 Ge1 O1'
_cell_length_a 5.055
_cell_length_b 5.055
_cell_length_c 4.568
_cell_angle_alpha 90.00
_cell_angle_beta 90.00
_cell_angle_gamma 90.00
_space_group_name_H-M_alt 'P 4/m m m'
_space_group_IT_number 123
_space_group_name_Hall '-P 4 2'
loop_
_atom_site_label
_atom_site_fract_x
_atom_site_fract_y
_atom_site_fract_z
K1 0.000 0.000 0.000
V1 0.000 0.500 0.500
Ge1 0.500 0.500 0.500
O1 0.500 0.500 0.000
```

Theoretical density = 3.267 g/cm³
Energy = -4.310 eV/atom
D(E_F) = 0.36 states/eV/atom
Total magnetization = 1.437 μB per atom


KGeWO6: optimized geometry, PBE+U.

Cell and atoms, written as CIF:
```
data_KGeWO6
_chemical_formula_sum 'K2 Ge2 W2 O12'
_cell_length_a 5.273
_cell_length_b 9.229
_cell_length_c 5.876
_cell_angle_alpha 90.00
_cell_angle_beta 91.34
_cell_angle_gamma 90.00
_space_group_name_H-M_alt 'C 1 2 1'
_space_group_IT_number 5
loop_
_space_group_symop_operation_xyz
'x,y,z'
'-x,y,-z'
'x+1/2,y+1/2,z'
'-x+1/2,y+1/2,-z'
loop_
_atom_site_label
_atom_site_fract_x
_atom_site_fract_y
_atom_site_fract_z
K1 0.000 0.000 0.000
Ge1 0.000 0.682 0.500
W1 0.000 0.323 0.500
O1 0.093 0.506 0.338
O2 0.191 0.802 0.313
O3 0.193 0.201 0.308
```

Theoretical density = 4.549 g/cm³
Energy = -6.374 eV/atom
Total magnetization = 0.120 μB per atom


KGe2WO8: optimized geometry, PBE+U.

Cell and atoms, written as CIF:
```
data_KGe2WO8
_chemical_formula_sum 'K2 Ge4 W2 O16'
_cell_length_a 8.913
_cell_length_b 5.610
_cell_length_c 7.804
_cell_angle_alpha 90.00
_cell_angle_beta 103.61
_cell_angle_gamma 90.00
_space_group_name_H-M_alt 'C 1 2/m 1'
_space_group_IT_number 12
loop_
_space_group_symop_operation_xyz
'x,y,z'
'-x,-y,-z'
'-x,y,-z'
'x,-y,z'
'x+1/2,y+1/2,z'
'-x+1/2,-y+1/2,-z'
'-x+1/2,y+1/2,-z'
'x+1/2,-y+1/2,z'
loop_
_atom_site_label
_atom_site_fract_x
_atom_site_fract_y
_atom_site_fract_z
K1 0.000 0.000 0.000
Ge1 0.101 0.500 0.276
W1 0.000 0.000 0.500
O1 0.000 0.243 0.321
O2 0.129 0.500 0.062
O3 0.220 0.000 0.565
```

Theoretical density = 4.345 g/cm³
Energy = -6.392 eV/atom
Total magnetization = 0.089 μB per atom